# 1
Density functional theory data (GGA-PBE) for crystalline RbTiS2N at its relaxed geometry.

Lattice parameters (Å, degrees): 4.939 4.939 4.100 90.00 90.00 90.00
Sites, in units of the cell vectors:
S 0.000 0.500 0.000
S 0.500 0.000 0.000
Ti 0.000 0.000 0.000
Rb 0.500 0.500 0.500
N 0.000 0.000 0.500

formation energy (no corrections)	-0.496	eV per atom
total magnetization	0.3618	μB/atom
energy relative to the lowest polymorph listed for this composition	0.000	eV per atom
calculated volume	100.02	Å³ per cell

=====

# 2
Density functional theory data (GGA-PBE) for crystalline RbTiSN2 at its relaxed geometry.

Lattice parameters (Å, degrees): 4.140 4.140 5.843 90.00 90.00 90.00
Sites, in units of the cell vectors:
N 0.500 0.000 0.000
N 0.000 0.500 0.000
Rb 0.000 0.000 0.000
Ti 0.500 0.500 0.500
S 0.000 0.000 0.500

formation energy (no corrections)	2.324	eV per atom
total magnetization	0.0345	μB/atom
energy relative to the lowest polymorph listed for this composition	2.284	eV per atom
calculated volume	100.14	Å³ per cell

=====

# 3
Density functional theory data (GGA-PBE) for crystalline RbTiSN2 at its relaxed geometry.

Lattice parameters (Å, degrees): 4.253 4.253 4.818 90.00 90.00 90.00
Sites, in units of the cell vectors:
Rb 0.500 0.500 0.500
Ti 0.000 0.000 0.000
N 0.500 0.000 0.000
N 0.000 0.500 0.000
S 0.000 0.000 0.500

formation energy (no corrections)	0.040	eV per atom
total magnetization	0.5987	μB/atom
energy relative to the lowest polymorph listed for this composition	0.000	eV per atom
calculated volume	87.16	Å³ per cell

=====

# 4
Density functional theory data (GGA-PBE) for crystalline RbTiS2N at its relaxed geometry.

Lattice parameters (Å, degrees): 5.295 5.295 4.149 90.00 90.00 90.00
Sites, in units of the cell vectors:
S 0.000 0.500 0.000
S 0.500 0.000 0.000
N 0.000 0.000 0.500
Rb 0.000 0.000 0.000
Ti 0.500 0.500 0.500

formation energy (no corrections)	1.958	eV per atom
total magnetization	0.0001	μB/atom
energy relative to the lowest polymorph listed for this composition	2.454	eV per atom
calculated volume	116.32	Å³ per cell